Record 1
## BaPtO (PBE)

Data for an optimized crystal structure of BaPtO.

```
BaPtO
1.0
6.4242 0.0000 0.0000
0.0000 3.5986 0.0000
0.0000 0.0000 10.4939
Ba Pt O
4 4 4
direct
0.1119 0.2500 0.1533
0.3881 0.7500 0.6533
0.6119 0.2500 0.3467
0.8881 0.7500 0.8467
0.1191 0.2500 0.4543
0.3809 0.7500 0.9543
0.6191 0.2500 0.0457
0.8809 0.7500 0.5457
0.1849 0.2500 0.8797
0.3151 0.7500 0.3797
0.6849 0.2500 0.6203
0.8151 0.7500 0.1203
```

## Properties
- SG: Pnma, No. 62
- N(E_F): 0.0 states/eV per cell
- V: 20.22 A^3/atom
- Energy relative to the elements, uncorrected: -1.3316 eV per atom
- Crystal system: orthorhombic
- Magnetization: 0.000 μB/cell

=====

Record 2
## BaPt2O8 (PBE)

Data for an optimized crystal structure of BaPt2O8.

```
BaPt2O8
1.0
4.8244 0.0000 0.0000
0.0000 4.8244 0.0000
0.0000 0.0000 6.6353
Ba Pt O
1 2 8
direct
0.0000 0.0000 0.0000
0.0000 0.5000 0.5000
0.5000 0.0000 0.5000
0.2526 0.2526 0.3215
0.2526 0.2526 0.6785
0.2526 0.7474 0.3215
0.2526 0.7474 0.6785
0.7474 0.2526 0.3215
0.7474 0.2526 0.6785
0.7474 0.7474 0.3215
0.7474 0.7474 0.6785
```

## Properties
- SG: P4/mmm, No. 123
- N(E_F): 7.8 states/eV per cell
- V: 14.04 A^3/atom
- Energy relative to the elements, uncorrected: -0.2869 eV per atom
- Crystal system: tetragonal
- Magnetization: 0.004 μB/cell

=====

Record 3
## Ba5PtO8 (PBE)

Data for an optimized crystal structure of Ba5PtO8.

```
Ba5PtO8
1.0
-3.9409 3.9409 4.3812
3.9409 -3.9409 4.3812
3.9409 3.9409 -4.3812
Ba Pt O
5 1 8
direct
0.0000 0.0000 0.0000
0.1196 0.5258 0.8502
0.4742 0.3244 0.5938
0.6756 0.2694 0.1498
0.7306 0.8804 0.4062
0.2500 0.7500 0.5000
0.2380 0.0075 0.7134
0.2942 0.5246 0.2866
0.4066 0.0074 0.2055
0.4754 0.7620 0.7695
0.7989 0.5934 0.6009
0.8019 0.2011 0.7945
0.9925 0.7058 0.2305
0.9926 0.1981 0.3991
```

## Properties
- SG: I-4, No. 82
- N(E_F): 10.4 states/eV per cell
- V: 19.44 A^3/atom
- Energy relative to the elements, uncorrected: -1.8103 eV per atom
- Crystal system: tetragonal
- Magnetization: 2.599 μB/cell

=====

Record 4
## BaPtO2 (PBE)

Data for an optimized crystal structure of BaPtO2.

```
BaPtO2
1.0
2.1705 1.2531 5.7379
-2.1705 1.2531 5.7379
0.0000 -2.5062 5.7379
Ba Pt O
1 1 2
direct
0.0000 0.0000 0.0000
0.5000 0.5000 0.5000
0.3920 0.3920 0.3920
0.6080 0.6080 0.6080
```

## Properties
- SG: R-3m, No. 166
- N(E_F): 0.0 states/eV per cell
- V: 23.41 A^3/atom
- Energy relative to the elements, uncorrected: -1.4347 eV per atom
- Crystal system: trigonal
- Magnetization: 2.000 μB/cell

=====

Record 5
## BaPtO (PBE)

Data for an optimized crystal structure of BaPtO.

```
BaPtO
1.0
5.3416 0.0000 0.0000
0.0000 3.6698 0.0000
-2.6567 0.0000 6.1796
Ba Pt O
2 2 2
direct
0.1569 0.2500 0.3128
0.8431 0.7500 0.6872
0.4280 0.2500 0.8568
0.5720 0.7500 0.1432
0.3100 0.7500 0.6209
0.6900 0.2500 0.3791
```

## Properties
- SG: P2_1/m, No. 11
- N(E_F): 0.0 states/eV per cell
- V: 20.19 A^3/atom
- Energy relative to the elements, uncorrected: -1.4223 eV per atom
- Crystal system: monoclinic
- Magnetization: 0.000 μB/cell

=====

Record 6
## BaPtO (PBE)

Data for an optimized crystal structure of BaPtO.

```
BaPtO
1.0
4.5878 -1.9569 0.0000
4.5878 1.9569 0.0000
-2.1088 0.0000 8.2050
Ba Pt O
2 2 2
direct
0.0484 0.0484 0.3025
0.9516 0.9516 0.6975
0.3154 0.3584 0.9955
0.6416 0.6846 0.0045
0.5121 0.4879 0.5000
0.8443 0.1557 0.0000
```

## Properties
- SG: C2, No. 5
- N(E_F): 0.3 states/eV per cell
- V: 24.55 A^3/atom
- Energy relative to the elements, uncorrected: -1.2654 eV per atom
- Crystal system: monoclinic
- Magnetization: 0.000 μB/cell

=====

Record 7
## BaPt4O8 (PBE)

Data for an optimized crystal structure of BaPt4O8.

```
BaPt4O8
1.0
3.2512 1.8771 6.1234
-3.2512 1.8771 6.1234
0.0000 -3.7541 6.1234
Ba Pt O
1 4 8
direct
0.0000 0.0000 0.0000
0.0000 0.0000 0.5000
0.0000 0.5000 0.0000
0.5000 0.0000 0.0000
0.5000 0.5000 0.5000
0.2062 0.7252 0.7252
0.2182 0.2182 0.2182
0.2748 0.2748 0.7938
0.2748 0.7938 0.2748
0.7252 0.2062 0.7252
0.7252 0.7252 0.2062
0.7818 0.7818 0.7818
0.7938 0.2748 0.2748
```

## Properties
- SG: R-3m, No. 166
- N(E_F): 8.3 states/eV per cell
- V: 17.25 A^3/atom
- Energy relative to the elements, uncorrected: -0.7378 eV per atom
- Crystal system: trigonal
- Magnetization: 2.086 μB/cell

=====

Record 8
## BaPtO (PBE)

Data for an optimized crystal structure of BaPtO.

```
BaPtO
1.0
5.8064 0.0000 0.0000
0.0000 3.8617 0.0000
-0.8804 0.0000 6.1313
Ba Pt O
2 2 2
direct
0.0000 0.0000 0.0000
0.4364 0.0000 0.6035
0.5704 0.5000 0.1637
0.9011 0.5000 0.4636
0.1422 0.5000 0.7257
0.6606 0.5000 0.8729
```

## Properties
- SG: Pm, No. 6
- N(E_F): 0.0 states/eV per cell
- V: 22.91 A^3/atom
- Energy relative to the elements, uncorrected: -1.2130 eV per atom
- Crystal system: monoclinic
- Magnetization: 0.000 μB/cell

=====

Record 9
## BaPtO (PBE)

Data for an optimized crystal structure of BaPtO.

```
BaPtO
1.0
4.4647 0.0000 0.0000
0.0000 4.4647 0.0000
0.0000 0.0000 6.4436
Ba Pt O
2 2 2
direct
0.2500 0.2500 0.2083
0.7500 0.7500 0.7917
0.2500 0.2500 0.6697
0.7500 0.7500 0.3303
0.2500 0.7500 0.5000
0.7500 0.2500 0.5000
```

## Properties
- SG: P4/nmm, No. 129
- N(E_F): 6.1 states/eV per cell
- V: 21.41 A^3/atom
- Energy relative to the elements, uncorrected: -0.5291 eV per atom
- Crystal system: tetragonal
- Magnetization: 0.979 μB/cell

=====

Record 10
## Ba2Pt3O8 (PBE)

Data for an optimized crystal structure of Ba2Pt3O8.

```
Ba2Pt3O8
1.0
6.1844 -3.2364 0.0000
6.1844 3.2364 0.0000
-1.9054 0.0000 5.1888
Ba Pt O
2 3 8
direct
0.2174 0.2174 0.1697
0.7826 0.7826 0.8303
0.2485 0.7515 0.5000
0.5000 0.5000 0.0000
0.7515 0.2485 0.5000
0.0916 0.0916 0.4515
0.1871 0.6257 0.1138
0.3743 0.8129 0.8862
0.4157 0.4157 0.6019
0.5843 0.5843 0.3981
0.6257 0.1871 0.1138
0.8129 0.3743 0.8862
0.9084 0.9084 0.5485
```

## Properties
- SG: C2/m, No. 12
- V: 15.98 A^3/atom
- Energy relative to the elements, uncorrected: -1.2599 eV per atom
- Crystal system: monoclinic
- Magnetization: 0.000 μB/cell

=====

Record 11
## BaPtO (PBE)

Data for an optimized crystal structure of BaPtO.

```
BaPtO
1.0
1.9160 -6.0205 0.0000
1.9160 6.0205 0.0000
0.0000 0.0000 6.0433
Ba Pt O
2 2 2
direct
0.1041 0.8959 0.7500
0.8959 0.1041 0.2500
0.3692 0.6308 0.7500
0.6308 0.3692 0.2500
0.5000 0.5000 0.0000
0.5000 0.5000 0.5000
```

## Properties
- SG: Cmcm, No. 63
- N(E_F): 2.1 states/eV per cell
- V: 23.24 A^3/atom
- Energy relative to the elements, uncorrected: -0.8793 eV per atom
- Crystal system: orthorhombic
- Magnetization: 0.000 μB/cell

=====

Record 12
## BaPtO2 (PBE)

Data for an optimized crystal structure of BaPtO2.

```
BaPtO2
1.0
0.0000 3.1789 3.1789
3.1789 0.0000 3.1789
3.1789 3.1789 0.0000
Ba Pt O
1 1 2
direct
0.0000 0.0000 0.0000
0.5000 0.5000 0.5000
0.2500 0.2500 0.2500
0.7500 0.7500 0.7500
```

## Properties
- SG: Fm-3m, No. 225
- N(E_F): 1.9 states/eV per cell
- V: 16.06 A^3/atom
- Energy relative to the elements, uncorrected: -0.5416 eV per atom
- Crystal system: cubic
- Magnetization: 2.001 μB/cell

=====

Record 13
## Ba3PtO4 (PBE)

Data for an optimized crystal structure of Ba3PtO4.

```
Ba3PtO4
1.0
-3.2407 3.2407 3.6228
3.2407 -3.2407 3.6228
3.2407 3.2407 -3.6228
Ba Pt O
3 1 4
direct
0.0000 0.0000 0.0000
0.2500 0.7500 0.5000
0.7500 0.2500 0.5000
0.5000 0.5000 0.0000
0.2746 0.2746 0.5492
0.2746 0.7254 0.0000
0.7254 0.2746 0.0000
0.7254 0.7254 0.4508
```

## Properties
- SG: I4/mmm, No. 139
- Energy above the lowest structure with this stoichiometry: 0 meV per atom
- N(E_F): 0.0 states/eV per cell
- V: 19.02 A^3/atom
- Energy relative to the elements, uncorrected: -2.0031 eV per atom
- Crystal system: tetragonal
- Magnetization: 0.000 μB/cell

=====

Record 14
## Ba3PtO4 (PBE)

Data for an optimized crystal structure of Ba3PtO4.

```
Ba3PtO4
1.0
8.7052 0.0000 0.0000
0.0000 8.6440 0.0000
0.0000 0.0000 5.0042
Ba Pt O
6 2 8
direct
0.0000 0.0808 0.0000
0.2317 0.3513 0.4988
0.2683 0.6487 0.9988
0.5000 0.9192 0.5000
0.7317 0.6487 0.9988
0.7683 0.3513 0.4988
0.0000 0.7290 0.4813
0.5000 0.2710 0.9813
0.0000 0.1875 0.4977
0.0000 0.7734 0.0740
0.2342 0.7277 0.5008
0.2658 0.2723 0.0008
0.5000 0.2266 0.5740
0.5000 0.8125 0.9977
0.7342 0.2723 0.0008
0.7658 0.7277 0.5008
```

## Properties
- SG: Pmn2_1, No. 31
- Energy above the lowest structure with this stoichiometry: 184 meV per atom
- N(E_F): 13.1 states/eV per cell
- V: 23.53 A^3/atom
- Energy relative to the elements, uncorrected: -1.8194 eV per atom
- Crystal system: orthorhombic
- Magnetization: 0.783 μB/cell

=====

Record 15
## BaPt2O6 (PBE)

Data for an optimized crystal structure of BaPt2O6.

```
BaPt2O6
1.0
5.3633 0.0000 0.0000
-2.6817 4.6448 0.0000
0.0000 0.0000 5.7438
Ba Pt O
1 2 6
direct
0.0000 0.0000 0.0000
0.3333 0.6667 0.5000
0.6667 0.3333 0.5000
0.0000 0.3803 0.6918
0.0000 0.6197 0.3082
0.3803 0.0000 0.6918
0.3803 0.3803 0.3082
0.6197 0.0000 0.3082
0.6197 0.6197 0.6918
```

## Properties
- SG: P-31m, No. 162
- N(E_F): 6.2 states/eV per cell
- V: 15.90 A^3/atom
- Energy relative to the elements, uncorrected: -1.0143 eV per atom
- Crystal system: trigonal
- Magnetization: 1.429 μB/cell

=====

Record 16
## BaPtO (PBE)

Data for an optimized crystal structure of BaPtO.

```
BaPtO
1.0
4.6711 0.0000 0.0000
-2.3355 4.0453 0.0000
0.0000 0.0000 8.1629
Ba Pt O
2 2 2
direct
0.3333 0.6667 0.2500
0.6667 0.3333 0.7500
0.0000 0.0000 0.0000
0.0000 0.0000 0.5000
0.0000 0.0000 0.2500
0.0000 0.0000 0.7500
```

## Properties
- SG: P6_3/mmc, No. 194
- N(E_F): 0.0 states/eV per cell
- V: 25.71 A^3/atom
- Energy relative to the elements, uncorrected: -1.2757 eV per atom
- Crystal system: hexagonal
- Magnetization: 0.000 μB/cell

=====

Record 17
## BaPt6O12 (PBE)

Data for an optimized crystal structure of BaPt6O12.

```
BaPt6O12
1.0
-4.2371 4.2371 4.2371
4.2371 -4.2371 4.2371
4.2371 4.2371 -4.2371
Ba Pt O
1 6 12
direct
0.0000 0.0000 0.0000
0.1657 0.6657 0.5000
0.3343 0.5000 0.8343
0.5000 0.1657 0.6657
0.5000 0.8343 0.3343
0.6657 0.5000 0.1657
0.8343 0.3343 0.5000
0.1539 0.3583 0.5122
0.1539 0.6417 0.7957
0.2043 0.8461 0.3583
0.3583 0.2043 0.8461
0.3583 0.5122 0.1539
0.4878 0.8461 0.6417
0.5122 0.1539 0.3583
0.6417 0.4878 0.8461
0.6417 0.7957 0.1539
0.7957 0.1539 0.6417
0.8461 0.3583 0.2043
0.8461 0.6417 0.4878
```

## Properties
- SG: Im-3, No. 204
- N(E_F): 19.7 states/eV per cell
- V: 16.01 A^3/atom
- Energy relative to the elements, uncorrected: -0.1332 eV per atom
- Crystal system: cubic
- Magnetization: 0.016 μB/cell

=====

Record 18
## Ba3PtO2 (PBE)

Data for an optimized crystal structure of Ba3PtO2.

```
Ba3PtO2
1.0
6.6356 -3.1532 0.0000
6.6356 3.1532 0.0000
-2.5575 0.0000 7.6404
Ba Pt O
6 2 4
direct
0.0012 0.9988 0.7500
0.2741 0.3417 0.9000
0.3417 0.2741 0.4000
0.6583 0.7259 0.6000
0.7259 0.6583 0.1000
0.9988 0.0012 0.2500
0.4986 0.5014 0.7500
0.5014 0.4986 0.2500
0.1215 0.2135 0.0835
0.2135 0.1215 0.5835
0.7865 0.8785 0.4165
0.8785 0.7865 0.9165
```

## Properties
- SG: C2/c, No. 15
- N(E_F): 0.0 states/eV per cell
- V: 26.64 A^3/atom
- Energy relative to the elements, uncorrected: -1.7729 eV per atom
- Crystal system: monoclinic
- Magnetization: 0.000 μB/cell

=====

Record 19
## Ba5Pt2O9 (PBE)

Data for an optimized crystal structure of Ba5Pt2O9.

```
Ba5Pt2O9
1.0
10.3407 0.0000 0.0000
-5.1703 8.9553 0.0000
0.0000 0.0000 9.0264
Ba Pt O
15 6 27
direct
0.0000 0.0000 0.0000
0.0000 0.3284 0.5000
0.0000 0.3664 0.0000
0.0323 0.6972 0.2638
0.3028 0.3351 0.2638
0.3284 0.0000 0.5000
0.3333 0.6667 0.7527
0.3351 0.3028 0.7362
0.3664 0.0000 0.0000
0.6336 0.6336 0.0000
0.6649 0.9677 0.2638
0.6667 0.3333 0.2473
0.6716 0.6716 0.5000
0.6972 0.0323 0.7362
0.9677 0.6649 0.7362
0.0000 0.0000 0.3453
0.0000 0.0000 0.6547
0.3333 0.6667 0.0993
0.3333 0.6667 0.4087
0.6667 0.3333 0.5913
0.6667 0.3333 0.9007
0.0000 0.8518 0.5000
0.0058 0.1739 0.7791
0.1482 0.1482 0.5000
0.1682 0.9942 0.7791
0.1720 0.5227 0.2539
0.1739 0.0058 0.2209
0.1753 0.6857 0.9739
0.1770 0.6844 0.5335
0.3143 0.4896 0.9739
0.3156 0.4926 0.5335
0.3507 0.8280 0.2539
0.4773 0.6493 0.2539
0.4896 0.3143 0.0261
0.4926 0.3156 0.4665
0.5074 0.8230 0.5335
0.5104 0.8247 0.9739
0.5227 0.1720 0.7461
0.6493 0.4773 0.7461
0.6844 0.1770 0.4665
0.6857 0.1753 0.0261
0.8230 0.5074 0.4665
0.8247 0.5104 0.0261
0.8261 0.8318 0.7791
0.8280 0.3507 0.7461
0.8318 0.8261 0.2209
0.8518 0.0000 0.5000
0.9942 0.1682 0.2209
```

## Properties
- SG: P321, No. 150
- N(E_F): 0.0 states/eV per cell
- V: 17.41 A^3/atom
- Energy relative to the elements, uncorrected: -1.9151 eV per atom
- Crystal system: trigonal
- Magnetization: 0.000 μB/cell

=====

Record 20
## BaPtO (PBE)

Data for an optimized crystal structure of BaPtO.

```
BaPtO
1.0
-2.4575 5.2302 2.7765
2.4575 -5.2302 2.7765
2.4575 5.2302 -2.7765
Ba Pt O
2 2 2
direct
0.2003 0.0000 0.2003
0.7997 0.0000 0.7997
0.3768 0.8768 0.5000
0.4883 0.4883 0.0000
0.3071 0.5035 0.8036
0.7000 0.5035 0.1964
```

## Properties
- SG: Imm2, No. 44
- N(E_F): 3.1 states/eV per cell
- V: 23.79 A^3/atom
- Energy relative to the elements, uncorrected: -1.3838 eV per atom
- Crystal system: orthorhombic
- Magnetization: 0.231 μB/cell